(1)
An optimized crystal structure of Ac2Cd6Ga3, computed with PBE-GGA.

Cell: 8.456 8.456 4.472 Å, 90.00 90.00 120.00°
Sites, in units of the cell vectors:
Ac: 0.333 0.667 0.000
Ac: 0.667 0.333 0.000
Cd: 0.000 0.293 0.500
Cd: 0.000 0.802 0.000
Cd: 0.198 0.198 0.000
Cd: 0.293 0.000 0.500
Cd: 0.707 0.707 0.500
Cd: 0.802 0.000 0.000
Ga: 0.000 0.618 0.500
Ga: 0.382 0.382 0.500
Ga: 0.618 0.000 0.500

E_form (eV/atom): -0.313
Total magnetization (Bohr magnetons per cell): 0.00
N(E_F) (states/eV per cell): 5.67

(2)
An optimized crystal structure of CaTh3Sn5, computed with PBE-GGA.

Cell: 9.614 9.614 6.430 Å, 90.00 90.00 120.00°
Sites, in units of the cell vectors:
Ca: 0.000 0.000 0.000
Ca: 0.000 0.000 0.500
Th: 0.000 0.383 0.250
Th: 0.000 0.617 0.750
Th: 0.383 0.000 0.250
Th: 0.383 0.383 0.750
Th: 0.617 0.000 0.750
Th: 0.617 0.617 0.250
Sn: 0.000 0.284 0.750
Sn: 0.000 0.716 0.250
Sn: 0.284 0.000 0.750
Sn: 0.284 0.284 0.250
Sn: 0.333 0.667 0.000
Sn: 0.333 0.667 0.500
Sn: 0.667 0.333 0.000
Sn: 0.667 0.333 0.500
Sn: 0.716 0.000 0.250
Sn: 0.716 0.716 0.750

E_form (eV/atom): -0.533
Total magnetization (Bohr magnetons per cell): 0.00
N(E_F) (states/eV per cell): 14.87

(3)
An optimized crystal structure of Sr2YP, computed with PBE-GGA.

Cell: 3.745 3.745 9.910 Å, 90.00 90.00 90.00°
Sites, in units of the cell vectors:
Sr: 0.000 0.000 0.000
Sr: 0.500 0.500 0.355
Y: 0.000 0.000 0.670
P: 0.500 0.500 0.788

E_form (eV/atom): -0.528
Total magnetization (Bohr magnetons per cell): 0.00
N(E_F) (states/eV per cell): 2.80

(4)
An optimized crystal structure of CrCd2Cl, computed with PBE-GGA.

Cell: 3.196 6.106 4.655 Å, 90.00 90.16 90.00°
Sites, in units of the cell vectors:
Cr: 0.000 0.000 0.000
Cd: 0.249 0.500 0.750
Cd: 0.751 0.500 0.250
Cl: 0.500 0.000 0.500

Formation energy without anion corrections (meV/atom): 155
Total magnetization (Bohr magnetons per cell): 4.82
Polymorph energy (0 for the lowest one) (meV per atom): 181.8
N(E_F) (states/eV per cell): 1.10

(5)
An optimized crystal structure of PrHo2Se4, computed with PBE-GGA.

Cell: 7.028 7.028 13.874 Å, 90.00 90.00 146.64°
Sites, in units of the cell vectors:
Pr: 0.124 0.876 0.750
Pr: 0.876 0.124 0.250
Ho: 0.370 0.630 0.568
Ho: 0.370 0.630 0.932
Ho: 0.630 0.370 0.068
Ho: 0.630 0.370 0.432
Se: 0.000 0.000 0.000
Se: 0.000 0.000 0.500
Se: 0.273 0.727 0.119
Se: 0.273 0.727 0.381
Se: 0.459 0.541 0.750
Se: 0.541 0.459 0.250
Se: 0.727 0.273 0.619
Se: 0.727 0.273 0.881

Formation energy without anion corrections (meV/atom): -1864
Total magnetization (Bohr magnetons per cell): 0.00
Polymorph energy (0 for the lowest one) (meV per atom): 0.0
N(E_F) (states/eV per cell): 3.27

(6)
An optimized crystal structure of MgCdW2, computed with PBE-GGA.

Cell: 3.323 3.323 6.668 Å, 90.00 90.00 90.00°
Sites, in units of the cell vectors:
Mg: 0.000 0.000 0.000
Cd: 0.500 0.500 0.740
W: 0.000 0.000 0.448
W: 0.500 0.500 0.274

E_form (eV/atom): 0.352
Total magnetization (Bohr magnetons per cell): 0.00
Polymorph energy (0 for the lowest one) (meV per atom): 64.4
N(E_F) (states/eV per cell): 2.66